Record 1
The following is a PBE calculation of a relaxed structure of Y2Mg2Cu, from Alexandria.

The structure in CIF format:
```
data_Y2Mg2Cu
_chemical_formula_sum 'Y8 Mg8 Cu4'
_symmetry_space_group_name_H-M 'C 1 2/c 1'
_symmetry_Int_Tables_number 15
_cell_length_a 11.307
_cell_length_b 6.504
_cell_length_c 6.979
_cell_angle_alpha 90.00
_cell_angle_beta 108.89
_cell_angle_gamma 90.00
loop_
_symmetry_equiv_pos_as_xyz
'x,y,z'
'-x,-y,-z'
'-x,y,-z+1/2'
'x,-y,z+1/2'
'x+1/2,y+1/2,z'
'-x+1/2,-y+1/2,-z'
'-x+1/2,y+1/2,-z+1/2'
'x+1/2,-y+1/2,z+1/2'
loop_
_atom_site_label
_atom_site_type_symbol
_atom_site_fract_x
_atom_site_fract_y
_atom_site_fract_z
Y1 Y 0.156 0.087 0.127
Mg1 Mg 0.104 0.395 0.465
Cu1 Cu 0.000 0.251 0.750
```

Results
Polymorph energy (0 for the lowest one) (meV/atom): 7.7
ΔE_f (eV per formula unit): -0.5

Record 2
The following is a PBE calculation of a relaxed structure of YMg3Cu, from Alexandria.

The structure in CIF format:
```
data_YMg3Cu
_chemical_formula_sum 'Y2 Mg6 Cu2'
_symmetry_space_group_name_H-M 'P 63/m m c'
_symmetry_Int_Tables_number 194
_symmetry_space_group_name_Hall '-P 6c 2c'
_cell_length_a 6.8321
_cell_length_b 6.8321
_cell_length_c 5.4890
_cell_angle_alpha 90.00
_cell_angle_beta 90.00
_cell_angle_gamma 120.00
loop_
_atom_site_label
_atom_site_type_symbol
_atom_site_fract_x
_atom_site_fract_y
_atom_site_fract_z
Y1 Y 0.3333 0.6667 0.2500
Mg1 Mg 0.1839 0.3678 0.7500
Cu1 Cu 0.0000 0.0000 0.0000
```

Results
Polymorph energy (0 for the lowest one) (meV/atom): 84.6
ΔE_f (eV per formula unit): -0.2

Record 3
The following is a PBE calculation of a relaxed structure of Y2MgCu2, from Alexandria.

The structure in CIF format:
```
data_Y2MgCu2
_chemical_formula_sum 'Y4 Mg2 Cu4'
_symmetry_space_group_name_H-M 'P 4/m b m'
_symmetry_Int_Tables_number 127
_symmetry_space_group_name_Hall '-P 4 2ab'
_cell_length_a 7.605
_cell_length_b 7.605
_cell_length_c 3.772
_cell_angle_alpha 90.00
_cell_angle_beta 90.00
_cell_angle_gamma 90.00
loop_
_atom_site_label
_atom_site_type_symbol
_atom_site_fract_x
_atom_site_fract_y
_atom_site_fract_z
Y1 Y 0.170 0.330 0.000
Mg1 Mg 0.000 0.000 0.500
Cu1 Cu 0.123 0.623 0.500
```

Results
Polymorph energy (0 for the lowest one) (meV/atom): 0.0
ΔE_f (eV per formula unit): -1.2

Record 4
The following is a PBE calculation of a relaxed structure of Y2MgCu3, from Alexandria.

The structure in CIF format:
```
data_Y2MgCu3
_chemical_formula_sum 'Y6 Mg3 Cu9'
_symmetry_space_group_name_H-M 'R -3 m'
_symmetry_Int_Tables_number 166
_symmetry_space_group_name_Hall '-R 3 2"'
_cell_length_a 5.5555
_cell_length_b 5.5555
_cell_length_c 12.8466
_cell_angle_alpha 90.00
_cell_angle_beta 90.00
_cell_angle_gamma 120.00
loop_
_atom_site_label
_atom_site_type_symbol
_atom_site_fract_x
_atom_site_fract_y
_atom_site_fract_z
Y1 Y 0.0000 0.0000 0.1274
Mg1 Mg 0.0000 0.0000 0.5000
Cu1 Cu 0.0000 0.5000 0.0000
```

Results
Polymorph energy (0 for the lowest one) (meV/atom): 86.2
ΔE_f (eV per formula unit): -0.7

Which of these has the lowest polymorph energy (0 for the lowest one)? Y2MgCu2

polymorph energy (0 for the lowest one) of number 3 (Y2MgCu2)? 0.0 meV/atom